Record 1
Below is a geometry-optimized Pm8Ho3Th2 structure, with properties calculated at the PBE level.

Results
Energy relative to the elements (meV/atom): 186
Theoretical density (g/cm³): 8.0
Space-group type: C2/m
Fermi-level density of states (states/eV per cell): 21.2

Cell lengths 6.1532, 11.8669, 8.8325 Å; angles 132.20, 73.01, 90.00 degrees
Sites, in units of the cell vectors:
Pm 0.6633 0.0786 0.6633
Pm 0.3367 0.4152 0.3367
Pm 0.9339 0.1476 0.2951
Pm 0.2356 0.5768 0.1535
Pm 0.3367 0.9214 0.3367
Pm 0.0661 0.8524 0.7049
Pm 0.6633 0.5848 0.6633
Pm 0.7644 0.4232 0.8465
Th 0.3512 0.2998 0.5996
Th 0.6488 0.7002 0.4004
Ho 0.0000 0.2599 0.0000
Ho 0.5000 0.0000 0.0000
Ho 0.0000 0.7401 0.0000



Record 2
Below is a geometry-optimized PmHo8Th4 structure, with properties calculated at the PBE level.

Results
Energy relative to the elements (meV/atom): 214
Theoretical density (g/cm³): 9.5
Space-group type: R-3m
Fermi-level density of states (states/eV per cell): 15.2

Cell lengths 7.3654, 7.3654, 9.8235 Å; angles 90.00, 112.02, 120.00 degrees
Sites, in units of the cell vectors:
Ho 0.5573 0.7787 0.3360
Ho 0.4427 0.2213 0.6640
Ho 0.5007 0.7503 0.6895
Ho 0.0608 0.8111 0.3105
Ho 0.9392 0.1889 0.6895
Ho 0.0608 0.2497 0.3105
Ho 0.9392 0.7503 0.6895
Ho 0.4993 0.2497 0.3105
Th 0.5000 0.5000 0.0000
Th 0.5000 0.0000 0.0000
Th 0.0000 0.5000 0.0000
Th 0.0000 0.0000 0.0000
Pm 0.0000 0.5000 0.5000



Record 3
Below is a geometry-optimized Pm2HoTh structure, with properties calculated at the PBE level.

Results
Energy relative to the elements (meV/atom): 65
Theoretical density (g/cm³): 8.6
Space-group type: Cmcm
Fermi-level density of states (states/eV per cell): 13.2

Cell lengths 7.1757, 7.1810, 6.2603 Å; angles 90.00, 124.94, 90.00 degrees
Sites, in units of the cell vectors:
Th 0.7496 0.7500 0.0000
Th 0.2504 0.2500 0.0000
Pm 0.2500 0.0001 0.5001
Pm 0.7500 0.5000 0.4999
Pm 0.2500 0.5000 0.5001
Pm 0.7500 0.9999 0.4999
Ho 0.7504 0.2500 0.0000
Ho 0.2496 0.7500 0.0000



Record 4
Below is a geometry-optimized Pm2Ho3Th2 structure, with properties calculated at the PBE level.

Results
Energy relative to the elements (meV/atom): 40
Theoretical density (g/cm³): 9.2
Space-group type: C2/m
Fermi-level density of states (states/eV per cell): 10.3

Cell lengths 3.5893, 13.7952, 6.2057 Å; angles 53.28, 73.16, 67.01 degrees
Sites, in units of the cell vectors:
Th 0.7180 0.7157 0.4177
Th 0.2820 0.2843 0.5823
Ho 0.0000 0.0000 0.0000
Ho 0.5753 0.5665 0.1490
Ho 0.4247 0.4335 0.8510
Pm 0.8660 0.8489 0.7220
Pm 0.1340 0.1511 0.2780



Record 5
Below is a geometry-optimized Pm2Ho5Th4 structure, with properties calculated at the PBE level.

Results
Energy relative to the elements (meV/atom): 82
Theoretical density (g/cm³): 9.4
Space-group type: P-1
Fermi-level density of states (states/eV per cell): 16.4

Cell lengths 3.5651, 8.9026, 14.0400 Å; angles 63.53, 75.40, 101.58 degrees
Sites, in units of the cell vectors:
Ho 0.0683 0.5371 0.2009
Ho 0.9317 0.4629 0.7991
Ho 0.5000 0.0000 0.0000
Ho 0.7690 0.8886 0.6721
Ho 0.2310 0.1114 0.3279
Pm 0.2003 0.3521 0.4750
Pm 0.7997 0.6479 0.5250
Th 0.6531 0.8284 0.2618
Th 0.9126 0.7052 0.9387
Th 0.0874 0.2948 0.0613
Th 0.3469 0.1716 0.7382



Record 6
Below is a geometry-optimized Pm2Ho12Th structure, with properties calculated at the PBE level.

Results
Energy relative to the elements (meV/atom): 144
Theoretical density (g/cm³): 8.6
Space-group type: C2/m
Fermi-level density of states (states/eV per cell): 44.1

Cell lengths 6.6945, 6.6945, 24.2378 Å; angles 93.08, 86.92, 63.27 degrees
Sites, in units of the cell vectors:
Ho 0.0100 0.9903 0.8002
Ho 0.4340 0.5654 0.3301
Ho 0.3500 0.1500 0.5728
Ho 0.8480 0.6520 0.5740
Ho 0.1457 0.8561 0.4448
Ho 0.7440 0.7560 0.1281
Ho 0.5654 0.4340 0.6699
Ho 0.8561 0.1457 0.5552
Ho 0.6439 0.3543 0.4448
Ho 0.1500 0.3500 0.4272
Ho 0.9346 0.0660 0.3301
Ho 0.2970 0.7042 0.0745
Ho 0.4900 0.5097 0.1998
Ho 0.7042 0.2970 0.9255
Ho 0.7958 0.2030 0.0745
Ho 0.2561 0.2439 0.8724
Ho 0.5097 0.4900 0.8002
Ho 0.7560 0.7440 0.8719
Ho 0.2030 0.7958 0.9255
Ho 0.2439 0.2561 0.1276
Ho 0.0660 0.9346 0.6699
Ho 0.6520 0.8480 0.4260
Ho 0.9903 0.0100 0.1998
Ho 0.3543 0.6439 0.5552
Pm 0.9537 0.5463 0.2713
Pm 0.0456 0.4544 0.7284
Pm 0.4544 0.0456 0.2716
Pm 0.5463 0.9537 0.7287
Th 0.4985 0.0015 0.9993
Th 0.0015 0.4985 0.0007



Record 7
Below is a geometry-optimized Pm3Ho8Th2 structure, with properties calculated at the PBE level.

Results
Energy relative to the elements (meV/atom): 114
Theoretical density (g/cm³): 8.7
Space-group type: P-1
Fermi-level density of states (states/eV per cell): 36.4

Cell lengths 12.9352, 6.1193, 19.5442 Å; angles 93.94, 75.11, 144.13 degrees
Sites, in units of the cell vectors:
Pm 0.4661 0.5072 0.2957
Pm 0.9089 0.1496 0.7755
Pm 0.5000 0.0000 0.5000
Pm 0.0911 0.8504 0.2245
Pm 0.0000 0.0000 0.0000
Pm 0.5339 0.4928 0.7043
Th 0.9881 0.0702 0.5856
Th 0.2676 0.7553 0.8540
Th 0.7324 0.2447 0.1460
Th 0.0119 0.9298 0.4144
Ho 0.3694 0.6286 0.0752
Ho 0.3373 0.6723 0.6784
Ho 0.1920 0.9367 0.6161
Ho 0.0879 0.9441 0.8151
Ho 0.8080 0.0633 0.3839
Ho 0.5480 0.4297 0.1125
Ho 0.2046 0.7672 0.4386
Ho 0.2739 0.6607 0.2606
Ho 0.6306 0.3714 0.9248
Ho 0.7954 0.2328 0.5614
Ho 0.9121 0.0559 0.1849
Ho 0.1822 0.8109 0.0370
Ho 0.7261 0.3393 0.7394
Ho 0.4520 0.5703 0.8875
Ho 0.6627 0.3277 0.3216
Ho 0.8178 0.1891 0.9630



Record 8
Below is a geometry-optimized PmHoTh structure, with properties calculated at the PBE level.

Results
Energy relative to the elements (meV/atom): 70
Theoretical density (g/cm³): 9.3
Space-group type: Cmcm
Fermi-level density of states (states/eV per cell): 15.5

Cell lengths 7.0153, 5.6606, 9.7976 Å; angles 90.00, 90.00, 90.00 degrees
Sites, in units of the cell vectors:
Ho 0.2500 0.2497 0.9163
Ho 0.7500 0.2497 0.5837
Ho 0.2500 0.7503 0.4163
Ho 0.7500 0.7503 0.0837
Pm 0.2500 0.2503 0.5836
Pm 0.7500 0.2503 0.9164
Pm 0.2500 0.7497 0.0836
Pm 0.7500 0.7497 0.4164
Th 0.5000 0.7500 0.7500
Th 0.5000 0.2500 0.2500
Th 0.0000 0.2500 0.2500
Th 0.0000 0.7500 0.7500



Record 9
Below is a geometry-optimized Pm8Ho5Th structure, with properties calculated at the PBE level.

Results
Energy relative to the elements (meV/atom): 282
Theoretical density (g/cm³): 7.7
Space-group type: I-4
Fermi-level density of states (states/eV per cell): 21.8

Cell lengths 8.5375, 8.5377, 8.5375 Å; angles 111.01, 106.44, 111.01 degrees
Sites, in units of the cell vectors:
Th 0.2500 0.5000 0.7500
Pm 0.3435 0.2735 0.4276
Pm 0.1542 0.7265 0.0700
Pm 0.7347 0.2613 0.3394
Pm 0.9300 0.0841 0.6565
Pm 0.6606 0.3953 0.9219
Pm 0.0781 0.7387 0.4734
Pm 0.5724 0.9159 0.8458
Pm 0.5266 0.6047 0.2653
Ho 0.2798 0.0924 0.9659
Ho 0.8126 0.6861 0.7202
Ho 0.0341 0.3139 0.1265
Ho 0.8735 0.9076 0.1874
Ho 0.5000 0.0000 0.5000



Record 10
Below is a geometry-optimized PmHo3Th4 structure, with properties calculated at the PBE level.

Results
Energy relative to the elements (meV/atom): 315
Theoretical density (g/cm³): 9.7
Space-group type: Immm
Fermi-level density of states (states/eV per cell): 13.9

Cell lengths 3.4405, 9.3886, 9.6976 Å; angles 118.95, 100.22, 90.00 degrees
Sites, in units of the cell vectors:
Ho 0.8170 0.8170 0.6339
Ho 0.0000 0.5000 0.0000
Ho 0.1830 0.1830 0.3661
Th 0.3496 0.1592 0.6992
Th 0.6504 0.8408 0.3008
Th 0.3495 0.5400 0.6991
Th 0.6505 0.4600 0.3009
Pm 0.5000 0.0000 0.0000



Record 11
Below is a geometry-optimized Pm2HoTh2 structure, with properties calculated at the PBE level.

Results
Energy relative to the elements (meV/atom): 453
Theoretical density (g/cm³): 8.9
Space-group type: Fddd
Fermi-level density of states (states/eV per cell): 15.4

Cell lengths 8.6612, 8.6612, 11.7463 Å; angles 91.71, 91.71, 156.76 degrees
Sites, in units of the cell vectors:
Ho 0.7500 0.2500 0.5000
Ho 0.5000 0.5000 0.0000
Th 0.6250 0.3750 0.7500
Th 0.6250 0.8750 0.2500
Th 0.6250 0.3750 0.2500
Th 0.1250 0.3750 0.7500
Pm 0.1712 0.8288 0.0000
Pm 0.4212 0.5788 0.5000
Pm 0.0788 0.9212 0.5000
Pm 0.8288 0.1712 0.0000



Record 12
Below is a geometry-optimized Pm3Ho4Th structure, with properties calculated at the PBE level.

Results
Energy relative to the elements (meV/atom): 43
Theoretical density (g/cm³): 8.4
Space-group type: Pmn2_1
Fermi-level density of states (states/eV per cell): 29.4

Cell lengths 6.2750, 7.2386, 11.5435 Å; angles 90.00, 90.00, 90.00 degrees
Sites, in units of the cell vectors:
Ho 0.9864 0.1247 0.2483
Ho 0.1471 0.8771 0.0000
Ho 0.1491 0.8723 0.5000
Ho 0.4864 0.8753 0.2517
Ho 0.6471 0.1229 0.5000
Ho 0.4864 0.8753 0.7483
Ho 0.6491 0.1277 0.0000
Ho 0.9864 0.1247 0.7517
Pm 0.1451 0.3779 0.5000
Pm 0.6451 0.6221 0.0000
Pm 0.4752 0.3768 0.7485
Pm 0.9752 0.6232 0.2485
Pm 0.4752 0.3768 0.2515
Pm 0.9752 0.6232 0.7515
Th 0.1508 0.3728 0.0000
Th 0.6508 0.6272 0.5000



> Which value of theoretical density does entry 3 give?

8.6 g/cm³



> Which value of energy relative to the elements does entry 7 give?

114 meV/atom



> Look up the theoretical density of the sixth one.

8.6 g/cm³